Compound: KCd3Au
Source: the Alexandria database
Functional: PBEsol
Structure: relaxed

abc: 6.100 6.100 6.100
angles: 90.00 90.00 90.00
Positions (direct):
Cd1 0.500 0.000 0.000
Au1 0.500 0.500 0.500
K1 0.000 0.000 0.000
Cd2 0.000 0.500 0.000
Cd3 0.000 0.000 0.500

Calculated values
The symmetry is Pm-3m. Its energy above the lowest structure with this stoichiometry is 1044 meV per atom. Its formation energy is 989 meV per atom.

Compound: KCd3Au
Source: the Alexandria database
Functional: PBEsol
Structure: relaxed

abc: 5.265 5.265 5.265
angles: 90.00 90.00 90.00
Positions (direct):
K1 0.500 0.500 0.500
Au1 0.000 0.000 0.000
Cd1 0.500 0.000 0.000
Cd2 0.000 0.500 0.000
Cd3 0.000 0.000 0.500

Calculated values
The symmetry is Pm-3m. Its energy above the lowest structure with this stoichiometry is 0 meV per atom. Its formation energy is -56 meV per atom.

Compound: KCdAu2
Source: the Alexandria database
Functional: PBEsol
Structure: relaxed

abc: 3.067 3.067 10.253
angles: 81.40 81.40 60.00
Positions (direct):
Cd1 0.000 0.000 0.000
K1 0.500 0.500 0.500
Au1 0.257 0.257 0.230
Au2 0.743 0.743 0.770

Calculated values
The symmetry is R-3m. Its formation energy is 104 meV per atom.

Compound: KCdAu2
Source: the Alexandria database
Functional: PBEsol
Structure: relaxed

abc: 3.468 3.468 7.597
angles: 90.00 90.00 90.00
Positions (direct):
K1 0.500 0.500 0.500
Au1 0.000 0.000 0.193
Cd1 0.500 0.500 0.000
Au2 0.000 0.000 0.807

Calculated values
The symmetry is P4/mmm. Its formation energy is -80 meV per atom.

Compound: K2CdAu4S4
Source: the Alexandria database
Functional: PBEsol
Structure: relaxed

abc: 6.956 9.602 9.602
angles: 66.35 68.77 68.77
Positions (direct):
Au1 0.000 0.000 0.500
Au2 0.500 0.000 0.500
Au3 0.862 0.638 0.638
K1 0.336 0.652 0.348
S1 0.846 0.484 0.260
S2 0.589 0.740 0.516
S3 0.654 0.240 0.016
K2 0.164 0.152 0.848
K3 0.664 0.348 0.652
S4 0.411 0.260 0.484
Au4 0.638 0.862 0.862
S5 0.089 0.016 0.240
Au5 0.500 0.500 0.000
K4 0.836 0.848 0.152
Cd1 0.250 0.750 0.750
Au6 0.000 0.500 0.000
S6 0.346 0.760 0.984
Cd2 0.750 0.250 0.250
Au7 0.138 0.362 0.362
S7 0.154 0.516 0.740
Au8 0.362 0.138 0.138
S8 0.911 0.984 0.760

Calculated values
The symmetry is Ibam. The total energy is -3.88 eV/atom.

Compound: La2CdAu
Source: the Alexandria database
Functional: PBEsol
Structure: relaxed

abc: 4.515 4.515 5.951
angles: 112.29 112.29 90.00
Positions (direct):
Au1 0.500 0.500 0.000
La1 0.750 0.250 0.500
La2 0.000 0.000 0.000
Cd1 0.250 0.750 0.500

Calculated values
The symmetry is I-4m2. Its formation energy is -408 meV per atom.

Compound: LaCd2Au2
Source: the Alexandria database
Functional: PBEsol
Structure: relaxed

abc: 4.148 4.148 7.201
angles: 106.74 106.74 90.00
Positions (direct):
Au1 0.603 0.603 0.205
Au2 0.397 0.397 0.795
Cd1 0.250 0.750 0.500
La1 0.000 0.000 0.000
Cd2 0.750 0.250 0.500

Calculated values
The symmetry is I4/mmm. Its formation energy is -530 meV per atom.

Compound: LaCdAu
Source: the Alexandria database
Functional: PBEsol
Structure: relaxed

abc: 3.522 4.845 4.845
angles: 120.00 90.00 90.00
Positions (direct):
Au1 0.833 0.000 0.000
La1 0.334 0.667 0.333
Cd1 0.833 0.333 0.667

Calculated values
The symmetry is P-6m2. Its formation energy is -602 meV per atom.

Compound: LaCdAu
Source: the Alexandria database
Functional: PBEsol
Structure: relaxed

abc: 4.070 7.853 7.853
angles: 120.00 90.00 90.00
Positions (direct):
Au1 0.000 0.000 0.000
Au2 0.500 0.333 0.667
Cd1 0.500 0.747 0.747
Cd2 0.500 0.000 0.253
La1 0.000 0.593 0.000
Cd3 0.500 0.253 0.000
La2 0.000 0.000 0.593
Au3 0.500 0.667 0.333
La3 0.000 0.407 0.407

Calculated values
The symmetry is P-62m. Its formation energy is -667 meV per atom.

Compound: La2CdAu
Source: the Alexandria database
Functional: PBEsol
Structure: relaxed

abc: 3.817 5.316 5.316
angles: 90.00 90.00 90.00
Positions (direct):
La1 0.000 0.000 0.500
La2 0.000 0.500 0.000
Cd1 0.500 0.000 0.000
Au1 0.500 0.500 0.500

Calculated values
The symmetry is P4/mmm. Its formation energy is -496 meV per atom.

Compound: LaCdAu2
Source: the Alexandria database
Functional: PBEsol
Structure: relaxed

abc: 3.608 3.608 6.842
angles: 90.00 90.00 90.00
Positions (direct):
La1 0.500 0.500 0.778
Au1 0.500 0.500 0.248
Cd1 0.000 0.000 0.445
Au2 0.000 0.000 0.029

Calculated values
The symmetry is P4mm. Its formation energy is -418 meV per atom.

Compound: LaCdAu2
Source: the Alexandria database
Functional: PBEsol
Structure: relaxed

abc: 4.665 5.204 4.665
angles: 63.37 90.00 116.63
Positions (direct):
Cd1 0.500 0.000 0.500
La1 0.750 0.500 0.750
Au1 0.000 0.000 0.000
Au2 0.250 0.500 0.250

Calculated values
The symmetry is I-4m2. Its formation energy is -478 meV per atom.